A relaxed Co2Mo3O8 crystal. Source: the Alexandria database, functional PBE+U.

Unit cell a=5.866 b=5.866 c=9.997 alpha=90.00 beta=90.00 gamma=120.00
Fractional coordinates of all 26 atoms:
1 Co 0.333 0.667 0.000
2 Co 0.333 0.667 0.434
3 Co 0.667 0.333 0.500
4 Co 0.667 0.333 0.934
5 Mo 0.146 0.292 0.736
6 Mo 0.146 0.854 0.736
7 Mo 0.292 0.146 0.236
8 Mo 0.708 0.854 0.736
9 Mo 0.854 0.146 0.236
10 Mo 0.854 0.708 0.236
11 O 0.000 0.000 0.380
12 O 0.000 0.000 0.880
13 O 0.025 0.512 0.853
14 O 0.169 0.338 0.119
15 O 0.169 0.831 0.119
16 O 0.333 0.667 0.631
17 O 0.338 0.169 0.619
18 O 0.488 0.512 0.853
19 O 0.488 0.975 0.853
20 O 0.512 0.025 0.353
21 O 0.512 0.488 0.353
22 O 0.662 0.831 0.119
23 O 0.667 0.333 0.131
24 O 0.831 0.169 0.619
25 O 0.831 0.662 0.619
26 O 0.975 0.488 0.353

Computed properties:
- magnetization (μB/cell) = 12.000
- total energy (eV per atom) = -6.808